(1)
Density functional theory data (PBE) for an optimized crystal structure of BaPb3I.

Cell and atoms, written as POSCAR:
```
BaPb3I
1.0
6.075 0.000 0.000
0.000 6.075 0.000
0.000 0.000 6.075
Ba Pb I
1 3 1
direct
0.000 0.000 0.000
0.000 0.500 0.500
0.500 0.000 0.500
0.500 0.500 0.000
0.500 0.500 0.500
```

Results
- energy above the most stable polymorph in this dataset (meV/atom) = 0
- space group = Pm-3m
- energy relative to the elements, uncorrected (eV/atom) = 0.175
- total magnetic moment (μB per formula unit) = 0.00
- DOS(E_F) (states/eV/atom) = 1.21

(2)
Density functional theory data (PBE) for an optimized crystal structure of Ba4PbI4.

Cell and atoms, written as POSCAR:
```
Ba4PbI4
1.0
8.601 -2.571 0.000
8.601 2.571 0.000
-6.171 0.000 10.786
Ba Pb I
4 1 4
direct
0.083 0.083 0.397
0.309 0.309 0.220
0.691 0.691 0.780
0.917 0.917 0.603
0.500 0.500 0.500
0.119 0.119 0.905
0.297 0.297 0.691
0.703 0.703 0.309
0.881 0.881 0.095
```

Results
- space group = C2/m
- energy relative to the elements, uncorrected (eV/atom) = -1.390
- total magnetic moment (μB per formula unit) = 0.00
- DOS(E_F) (states/eV/atom) = 0.03

(3)
Density functional theory data (PBE) for an optimized crystal structure of BaPbI2.

Cell and atoms, written as POSCAR:
```
BaPbI2
1.0
0.000 4.274 4.274
4.274 0.000 4.274
4.274 4.274 0.000
Ba Pb I
1 1 2
direct
0.000 0.000 0.000
0.500 0.500 0.500
0.250 0.250 0.250
0.750 0.750 0.750
```

Results
- energy above the most stable polymorph in this dataset (meV/atom) = 0
- space group = Fm-3m
- energy relative to the elements, uncorrected (eV/atom) = -0.785
- total magnetic moment (μB per formula unit) = 1.25
- DOS(E_F) (states/eV/atom) = 0.80

(4)
Density functional theory data (PBE) for an optimized crystal structure of Ba6PbI5.

Cell and atoms, written as POSCAR:
```
Ba6PbI5
1.0
4.372 -7.545 0.000
4.372 7.545 0.000
-2.878 0.000 8.238
Ba Pb I
6 1 5
direct
0.079 0.399 0.739
0.238 0.238 0.256
0.399 0.079 0.739
0.601 0.921 0.261
0.762 0.762 0.744
0.921 0.601 0.261
0.000 0.000 0.500
0.171 0.829 0.000
0.334 0.666 0.500
0.500 0.500 0.000
0.666 0.334 0.500
0.829 0.171 0.000
```

Results
- space group = C2/m
- energy relative to the elements, uncorrected (eV/atom) = -1.254
- total magnetic moment (μB per formula unit) = 0.00
- DOS(E_F) (states/eV/atom) = 0.52

(5)
Density functional theory data (PBE) for an optimized crystal structure of Ba5PbI4.

Cell and atoms, written as POSCAR:
```
Ba5PbI4
1.0
7.092 0.000 0.000
3.527 7.995 0.000
3.539 0.007 8.002
Ba Pb I
5 1 4
direct
0.000 0.000 0.000
0.215 0.385 0.185
0.400 0.815 0.385
0.600 0.185 0.615
0.785 0.615 0.815
0.500 0.000 0.000
0.095 0.211 0.598
0.306 0.598 0.789
0.694 0.402 0.211
0.905 0.789 0.402
```

Results
- space group = P-1
- energy relative to the elements, uncorrected (eV/atom) = -1.243
- total magnetic moment (μB per formula unit) = 0.00
- DOS(E_F) (states/eV/atom) = 0.43

(6)
Density functional theory data (PBE) for an optimized crystal structure of BaPb3I.

Cell and atoms, written as POSCAR:
```
BaPb3I
1.0
6.531 0.000 0.000
0.000 6.531 0.000
0.000 0.000 6.531
Ba Pb I
1 3 1
direct
0.000 0.000 0.000
0.000 0.000 0.500
0.000 0.500 0.000
0.500 0.000 0.000
0.500 0.500 0.500
```

Results
- energy above the most stable polymorph in this dataset (meV/atom) = 548
- space group = Pm-3m
- energy relative to the elements, uncorrected (eV/atom) = 0.724
- total magnetic moment (μB per formula unit) = 2.63
- DOS(E_F) (states/eV/atom) = 1.19

(7)
Density functional theory data (PBE) for an optimized crystal structure of Ba5Pb2I3.

Cell and atoms, written as POSCAR:
```
Ba5Pb2I3
1.0
9.569 -2.338 0.000
9.569 2.338 0.000
-8.268 0.000 10.613
Ba Pb I
5 2 3
direct
0.000 0.000 0.000
0.121 0.121 0.413
0.282 0.282 0.207
0.718 0.718 0.793
0.879 0.879 0.587
0.329 0.329 0.738
0.671 0.671 0.262
0.116 0.116 0.869
0.500 0.500 0.500
0.884 0.884 0.131
```

Results
- space group = C2/m
- energy relative to the elements, uncorrected (eV/atom) = -1.096
- total magnetic moment (μB per formula unit) = 0.00
- DOS(E_F) (states/eV/atom) = 0.31

(8)
Density functional theory data (PBE) for an optimized crystal structure of BaPbI2.

Cell and atoms, written as POSCAR:
```
BaPbI2
1.0
2.513 1.451 10.212
-2.513 1.451 10.212
0.000 -2.902 10.212
Ba Pb I
1 1 2
direct
0.000 0.000 0.000
0.500 0.500 0.500
0.113 0.113 0.113
0.887 0.887 0.887
```

Results
- energy above the most stable polymorph in this dataset (meV/atom) = 308
- space group = R-3m
- energy relative to the elements, uncorrected (eV/atom) = -0.477
- total magnetic moment (μB per formula unit) = 0.00
- DOS(E_F) (states/eV/atom) = 0.67

(9)
Density functional theory data (PBE) for an optimized crystal structure of BaRu2PbI.

Cell and atoms, written as POSCAR:
```
BaRu2PbI
1.0
4.973 0.000 0.000
0.000 4.973 0.000
0.000 0.000 6.186
Ba Ru Pb I
1 2 1 1
direct
0.000 0.000 0.000
0.000 0.500 0.500
0.500 0.000 0.500
0.500 0.500 0.000
0.000 0.000 0.500
```

Results
- space group = P4/mmm
- energy relative to the elements, uncorrected (eV/atom) = 1.021
- total magnetic moment (μB per formula unit) = 1.87
- DOS(E_F) (states/eV/atom) = 1.39

(10)
Density functional theory data (PBE) for an optimized crystal structure of Ba2PbS2I2.

Cell and atoms, written as POSCAR:
```
Ba2PbS2I2
1.0
-2.771 2.771 8.778
2.771 -2.771 8.778
2.771 2.771 -8.778
Ba Pb S I
2 1 2 2
direct
0.110 0.110 0.000
0.890 0.890 0.000
0.500 0.500 0.000
0.000 0.500 0.500
0.500 0.000 0.500
0.311 0.311 0.000
0.689 0.689 0.000
```

Results
- space group = I4/mmm
- energy relative to the elements, uncorrected (eV/atom) = -1.410
- total magnetic moment (μB per formula unit) = 0.00

(11)
Density functional theory data (PBE) for an optimized crystal structure of Ba8Sb3PbI4.

Cell and atoms, written as POSCAR:
```
Ba8Sb3PbI4
1.0
5.084 2.935 8.477
-5.084 2.935 8.477
0.000 -5.871 8.477
Ba Sb Pb I
8 3 1 4
direct
0.237 0.742 0.742
0.238 0.238 0.238
0.258 0.258 0.763
0.258 0.763 0.258
0.742 0.237 0.742
0.742 0.742 0.237
0.762 0.762 0.762
0.763 0.258 0.258
0.000 0.000 0.500
0.000 0.500 0.000
0.500 0.000 0.000
0.500 0.500 0.500
0.000 0.000 0.000
0.000 0.500 0.500
0.500 0.000 0.500
0.500 0.500 0.000
```

Results
- space group = R-3m
- energy relative to the elements, uncorrected (eV/atom) = -1.270
- total magnetic moment (μB per formula unit) = 1.10
- DOS(E_F) (states/eV/atom) = 0.49

(12)
Density functional theory data (PBE) for an optimized crystal structure of BaSbPbI2.

Cell and atoms, written as POSCAR:
```
BaSbPbI2
1.0
6.463 0.000 0.000
0.000 6.463 0.000
0.000 0.000 6.906
Ba Sb Pb I
1 1 1 2
direct
0.000 0.000 0.000
0.000 0.000 0.500
0.500 0.500 0.500
0.000 0.500 0.000
0.500 0.000 0.000
```

Results
- energy above the most stable polymorph in this dataset (meV/atom) = 372
- space group = P4/mmm
- energy relative to the elements, uncorrected (eV/atom) = -0.125
- total magnetic moment (μB per formula unit) = 1.00
- DOS(E_F) (states/eV/atom) = 0.60